(1)
DFT (GGA-PBE) results for a relaxed LaMn2Te crystal.

Computed properties:
- DOS at the Fermi energy: 0.778 states/eV per atom
- Calculated total energy: -6.50 eV/atom
- Raw formation energy: 0.1015 eV per atom

Cell: 5.8576 5.8576 5.8576 Å, 136.50 136.50 63.20°
Closest atoms and distances in Å follow each position.
Element x y z (fractional)
La1 0.0000 0.0000 0.0000  8 Mn 3.07-3.31, 4 Te 3.31
Mn1 0.2500 0.7500 0.5000  4 Te 3.07, 4 Mn 3.31, 4 La 3.31
Mn2 0.5000 0.5000 0.0000  4 La 3.07, 4 Te 3.31, 4 Mn 3.31
Te1 0.7500 0.2500 0.5000  8 Mn 3.07-3.31, 4 La 3.31



(2)
DFT (GGA-PBE) results for a relaxed LaMn2Te crystal.

Computed properties:
- DOS at the Fermi energy: 0.827 states/eV per atom
- Calculated total energy: -6.85 eV/atom
- Raw formation energy: -0.2450 eV per atom

Cell: 6.1563 6.1563 6.1563 Å, 39.82 39.82 39.82°
Closest atoms and distances in Å follow each position.
Element x y z (fractional)
La1 0.0000 0.0000 0.0000  6 Mn 3.18-3.40, 4 Te 3.26-3.48
Mn1 0.2123 0.2123 0.2123  3 Mn 2.44
Mn2 0.5259 0.5259 0.5259  3 Mn 2.44, 3 Te 2.65
Te1 0.7953 0.7953 0.7953  6 Mn 2.65-2.81



(3)
DFT (GGA-PBE) results for a relaxed La4MnTe crystal.

Computed properties:
- DOS at the Fermi energy: 1.646 states/eV per atom
- Calculated total energy: -5.07 eV/atom
- Raw formation energy: 0.2694 eV per atom

Cell: 6.4558 6.4558 6.4558 Å, 60.00 60.00 60.00°
Closest atoms and distances in Å follow each position.
Element x y z (fractional)
La1 0.1244 0.1244 0.1244  6 La 3.21-3.24
La2 0.1244 0.1244 0.6269  6 La 3.21-3.24
La3 0.1244 0.6269 0.1244  6 La 3.21-3.24
La4 0.6269 0.1244 0.1244  6 La 3.21-3.24
Mn1 0.7500 0.7500 0.7500  12 La 3.78, 4 Te 3.95
Te1 0.5000 0.5000 0.5000  12 La 3.79, 4 Mn 3.95



(4)
DFT (GGA-PBE) results for a relaxed LaMn2Te crystal.

Computed properties:
- DOS at the Fermi energy: 1.152 states/eV per atom
- Calculated total energy: -6.53 eV/atom
- Raw formation energy: 0.0766 eV per atom

Cell: 5.3027 5.3027 5.3027 Å, 132.75 112.06 86.88°
Closest atoms and distances in Å follow each position.
Element x y z (fractional)
La1 0.0000 0.0000 0.0000  4 Mn 3.18-3.31, 4 Te 3.19-3.31
Mn1 0.3070 0.8070 0.5000  2 Mn 2.50
Mn2 0.4775 0.4775 0.0000  2 Mn 2.50, 2 Te 2.68
Te1 0.6904 0.1904 0.5000  3 Mn 2.68-2.95



(5)
DFT (GGA-PBE) results for a relaxed LaMn2Te crystal.

Computed properties:
- DOS at the Fermi energy: 0.792 states/eV per atom
- Calculated total energy: -6.56 eV/atom
- Raw formation energy: 0.0458 eV per atom

Cell: 4.5054 4.5054 4.5122 Å, 90.00 90.00 90.00°
Closest atoms and distances in Å follow each position.
Element x y z (fractional)
La1 0.0000 0.0000 0.0000  4 Te 3.19, 8 Mn 3.19
Mn1 0.0000 0.5000 0.5000  4 Mn 3.19, 4 Te 3.19, 4 La 3.19
Mn2 0.5000 0.0000 0.5000  4 Mn 3.19, 4 Te 3.19, 4 La 3.19
Te1 0.5000 0.5000 0.0000  4 La 3.19, 8 Mn 3.19



(6)
DFT (GGA-PBE) results for a relaxed LaMn2Te crystal.

Computed properties:
- DOS at the Fermi energy: 1.167 states/eV per atom
- Calculated total energy: -6.41 eV/atom
- Raw formation energy: 0.1890 eV per atom

Cell: 5.9281 5.9281 3.9988 Å, 109.19 109.19 116.78°
Closest atoms and distances in Å follow each position.
Element x y z (fractional)
La1 0.0000 0.0000 0.0000  4 Mn 2.98, 4 Te 3.11-3.17
Mn1 0.0000 0.5000 0.5000  2 Te 2.98, 2 La 2.98, 4 Mn 3.11-3.17
Mn2 0.5000 0.0000 0.5000  2 Te 2.98, 2 La 2.98, 4 Mn 3.11-3.17
Te1 0.5000 0.5000 0.0000  4 Mn 2.98, 4 La 3.11-3.17



(7)
DFT (GGA-PBE) results for a relaxed LaMn2Te crystal.

Computed properties:
- DOS at the Fermi energy: 1.210 states/eV per atom
- Calculated total energy: -6.29 eV/atom
- Raw formation energy: 0.3157 eV per atom

Cell: 9.4460 9.4460 9.4460 Å, 152.14 152.14 39.81°
Closest atoms and distances in Å follow each position.
Element x y z (fractional)
La1 0.0000 0.0000 0.0000  4 Te 3.22, 8 Mn 3.24-3.52
La2 0.7500 0.2500 0.5000  4 Te 3.22, 8 Mn 3.24-3.52
Mn1 0.3292 0.1250 0.7042  2 Mn 2.31, 2 Te 2.50
Mn2 0.3750 0.6708 0.7958  2 Mn 2.31, 2 Te 2.50
Mn3 0.4208 0.6250 0.2958  2 Mn 2.31, 2 Te 2.50
Mn4 0.8750 0.5792 0.2042  2 Mn 2.31, 2 Te 2.50
Te1 0.2500 0.7500 0.5000  4 Mn 2.50
Te2 0.5000 0.5000 0.0000  4 Mn 2.50



(8)
DFT (GGA-PBE) results for a relaxed LaMn4Te crystal.

Computed properties:
- DOS at the Fermi energy: 1.153 states/eV per atom
- Calculated total energy: -7.18 eV/atom
- Raw formation energy: 0.2804 eV per atom

Cell: 5.5410 5.5410 5.5410 Å, 60.00 60.00 60.00°
Closest atoms and distances in Å follow each position.
Element x y z (fractional)
La1 0.0000 0.0000 0.0000  12 Mn 3.24, 4 Te 3.39
Mn1 0.1189 0.6270 0.6270  6 Mn 2.73-2.82
Mn2 0.6270 0.1189 0.6270  6 Mn 2.73-2.82
Mn3 0.6270 0.6270 0.1189  6 Mn 2.73-2.82
Mn4 0.6270 0.6270 0.6270  6 Mn 2.73-2.82
Te1 0.2500 0.2500 0.2500  12 Mn 3.25, 4 La 3.39



(9)
DFT (GGA-PBE) results for a relaxed LaMn2Te crystal.

Computed properties:
- DOS at the Fermi energy: 0.726 states/eV per atom
- Calculated total energy: -6.65 eV/atom
- Raw formation energy: -0.0439 eV per atom

Cell: 3.6372 3.6372 7.0495 Å, 90.00 90.00 90.00°
Closest atoms and distances in Å follow each position.
Element x y z (fractional)
La1 0.0000 0.0000 0.0000  5 Mn 3.28-3.35, 4 Te 3.37, 4 La 3.64
Mn1 0.0000 0.0000 0.4655  4 Mn 2.81, 4 Te 3.02
Mn2 0.5000 0.5000 0.3045  1 Te 2.73, 4 Mn 2.81
Te1 0.5000 0.5000 0.6910  5 Mn 2.73-3.02



(10)
DFT (GGA-PBE) results for a relaxed LaMn2Te crystal.

Computed properties:
- DOS at the Fermi energy: 1.270 states/eV per atom
- Calculated total energy: -6.46 eV/atom
- Raw formation energy: 0.1378 eV per atom

Cell: 4.3314 4.3168 5.0951 Å, 90.00 90.05 90.00°
Closest atoms and distances in Å follow each position.
Element x y z (fractional)
La1 0.0000 0.0000 0.0000  8 Mn 3.22, 4 Te 3.34-3.35
Mn1 0.4987 0.5000 0.8027  1 Mn 2.01
Mn2 0.5013 0.5000 0.1973  1 Mn 2.01
Te1 0.5000 0.0000 0.5000  4 Mn 2.65



(11)
DFT (GGA-PBE) results for a relaxed LaMn2Te crystal.

Computed properties:
- DOS at the Fermi energy: 0.846 states/eV per atom
- Calculated total energy: -6.63 eV/atom
- Raw formation energy: -0.0230 eV per atom

Cell: 3.8953 4.0865 6.1670 Å, 90.00 98.66 90.00°
Closest atoms and distances in Å follow each position.
Element x y z (fractional)
La1 0.0000 0.0000 0.0000  1 Mn 2.96, 4 Te 3.21
Mn1 0.3846 0.0000 0.4516  2 Te 2.73, 4 Mn 2.79-2.88, 1 La 2.96
Mn2 0.8574 0.5000 0.4061  4 Mn 2.79-2.88, 2 Te 2.86
Te1 0.4401 0.5000 0.7496  4 Mn 2.73-2.86



(12)
DFT (GGA-PBE) results for a relaxed LaMnTe3 crystal.

Computed properties:
- DOS at the Fermi energy: 0.464 states/eV per atom
- Calculated total energy: -5.28 eV/atom
- Raw formation energy: -0.5750 eV per atom

Cell: 5.2737 5.2737 5.2737 Å, 90.00 90.00 90.00°
Closest atoms and distances in Å follow each position.
Element x y z (fractional)
La1 0.0000 0.0000 0.0000  12 Te 3.73
Mn1 0.5000 0.5000 0.5000  6 Te 2.64
Te1 0.0000 0.5000 0.5000  2 Mn 2.64
Te2 0.5000 0.0000 0.5000  2 Mn 2.64
Te3 0.5000 0.5000 0.0000  2 Mn 2.64



(13)
DFT (GGA-PBE) results for a relaxed LaMnTe4 crystal.

Computed properties:
- DOS at the Fermi energy: 1.051 states/eV per atom
- Calculated total energy: -4.28 eV/atom
- Raw formation energy: 0.1636 eV per atom

Cell: 6.3731 6.3731 6.3731 Å, 60.00 60.00 60.00°
Closest atoms and distances in Å follow each position.
Element x y z (fractional)
La1 0.0000 0.0000 0.0000  12 Te 3.74, 4 Mn 3.90
Mn1 0.7500 0.7500 0.7500  12 Te 3.74, 4 La 3.90
Te1 0.3751 0.3751 0.3751  6 Te 3.18-3.19
Te2 0.3751 0.3751 0.8747  6 Te 3.18-3.19
Te3 0.3751 0.8747 0.3751  6 Te 3.18-3.19
Te4 0.8747 0.3751 0.3751  6 Te 3.18-3.19